Co2PtBr | Alexandria | PBE-GGA | relaxed; VASP energy = -19.8 eV for the cell shown; calculated density = 9.9 g cm⁻³; polymorph energy (0 for the lowest one) = 0.93 eV/f.u.; Fermi-level density of states = 1.2452 states/eV per atom
1.0
2.784 -0.051 0.000
-1.233 2.497 0.000
0.000 0.000 9.537
Br Co Pt
1 2 1
Cartesian
0.776 1.223 7.647
0.776 1.223 2.098
0.000 0.000 0.327
0.000 0.000 4.233



Ta2CrCoC | Alexandria | PBE-GGA | relaxed; ΔH_f (0 K) = 2.127 eV per atom; VASP energy = -39.0 eV for the cell shown; calculated density = 9.6 g cm⁻³; Fermi-level density of states = 1.3756 states/eV per atom
1.0
-0.383 -3.479 2.971
-2.415 -1.883 -2.516
3.620 -2.053 -1.938
Ta Cr Co C
2 1 1 1
Cartesian
-0.191 -1.740 1.485
1.810 -1.027 -0.969
0.000 0.000 0.000
-1.208 -0.941 -1.258
0.411 -3.707 -0.742



KP6Pd12 | Alexandria | PBE-GGA | relaxed; ΔH_f (0 K) = -0.444 eV per atom; VASP energy = -104.3 eV for the cell shown; calculated density = 7.8 g cm⁻³; Fermi-level density of states = 0.3324 states/eV per atom
1.0
-0.266 2.056 -6.770
-3.930 -5.887 0.127
-4.004 4.770 3.367
Pd K P
12 1 6
Cartesian
-5.558 1.820 -0.856
-5.465 -2.488 0.930
-4.128 4.437 -0.432
-4.531 1.075 -3.640
-2.643 -0.882 -2.420
-2.736 3.426 -4.205
-2.663 2.045 -1.530
-5.492 1.480 2.135
-5.538 -1.106 -1.746
-4.073 -3.498 -2.844
-3.670 -0.136 0.364
-2.709 -0.541 -5.411
0.000 0.000 0.000
-2.039 1.102 -3.674
-4.590 3.245 -2.562
-6.162 -0.164 0.398
-3.611 -2.306 -0.714
-3.643 2.267 0.676
-4.558 -1.329 -3.952



DyZn4Pd2 | Alexandria | PBE-GGA | relaxed; ΔH_f (0 K) = 0.015 eV per atom; VASP energy = -20.0 eV for the cell shown; calculated density = 6.8 g cm⁻³; polymorph energy (0 for the lowest one) = 3.84 eV/f.u.; Fermi-level density of states = 0.7607 states/eV per atom
1.0
5.942 -0.570 0.000
-2.920 5.207 0.000
-1.511 -2.319 5.289
Pd Zn Dy
2 4 1
Cartesian
2.971 -0.285 2.645
-1.460 2.603 2.645
1.028 -0.670 4.063
-1.028 0.670 4.063
0.483 2.988 1.227
2.539 1.649 1.227
0.000 0.000 0.000



Pm3Dy4Ho | Alexandria | PBE-GGA | relaxed; ΔH_f (0 K) = 0.020 eV per atom; VASP energy = -74.2 eV for the cell shown; calculated density = 7.9 g cm⁻³; polymorph energy (0 for the lowest one) = 0.00 eV/f.u.; Fermi-level density of states = 1.7400 states/eV per atom
1.0
6.305 0.000 0.000
0.000 7.304 0.000
0.000 0.000 11.431
Ho Pm Dy
2 6 8
Cartesian
4.079 4.588 5.716
0.926 2.716 0.000
3.034 2.731 8.574
4.084 4.576 0.000
3.034 2.731 2.857
6.186 4.573 2.858
6.186 4.573 8.573
0.932 2.728 5.716
0.931 6.412 5.716
4.088 0.901 5.716
3.032 6.404 2.877
6.185 0.900 2.839
6.185 0.900 8.593
4.083 0.892 0.000
3.032 6.404 8.554
0.936 6.403 0.000



Co2SbRh | Alexandria | PBE-GGA | relaxed; VASP energy = -25.0 eV for the cell shown; calculated density = 9.9 g cm⁻³; Fermi-level density of states = 1.4613 states/eV per atom
1.0
3.688 0.000 0.000
0.000 2.936 0.012
0.000 2.931 5.339
Rh Co Sb
1 2 1
Cartesian
1.844 1.467 1.338
0.000 2.938 0.079
0.000 2.932 2.608
1.844 4.401 4.013



La2PmHoSe4 | Alexandria | PBE-GGA | relaxed; VASP energy = -48.2 eV for the cell shown; calculated density = 7.1 g cm⁻³; Fermi-level density of states = 0.6756 states/eV per atom
1.0
-2.035 2.424 -2.722
-3.816 -5.791 -2.304
-3.626 3.198 5.558
Se La Ho Pm
4 2 1 1
Cartesian
-2.770 0.579 -0.614
-6.707 -0.748 1.147
-3.711 1.003 3.667
-3.731 -3.596 -0.412
-2.831 2.811 1.418
-3.721 -1.297 1.627
0.000 0.000 0.000
-2.925 -1.684 -2.513